# PBE-GGA Dy2InPb, optimized geometry
data_Dy2InPb
_chemical_formula_sum 'Dy2 In1 Pb1'
_space_group_name_H-M_alt 'P 4/m m m'
_space_group_IT_number 123
_space_group_name_Hall '-P 4 2'
_cell_length_a 3.7906
_cell_length_b 3.7906
_cell_length_c 7.7093
_cell_angle_alpha 90.00
_cell_angle_beta 90.00
_cell_angle_gamma 90.00
loop_
_atom_site_label
_atom_site_type_symbol
_atom_site_fract_x
_atom_site_fract_y
_atom_site_fract_z
Dy1 Dy 0.0000 0.0000 0.2458
In1 In 0.5000 0.5000 0.0000
Pb1 Pb 0.5000 0.5000 0.5000
# Energy of formation from the pure elements in eV/f.u.: -1.6
# Density in g/cm3: 9.7

***

# PBE-GGA PmDyInPb, optimized geometry
data_PmDyInPb
_chemical_formula_sum 'Pm2 Dy2 In2 Pb2'
_space_group_name_H-M_alt 'I -4 m 2'
_space_group_IT_number 119
_space_group_name_Hall 'I -4 -2'
_cell_length_a 5.0215
_cell_length_b 5.0215
_cell_length_c 8.9460
_cell_angle_alpha 90.00
_cell_angle_beta 90.00
_cell_angle_gamma 90.00
loop_
_atom_site_label
_atom_site_type_symbol
_atom_site_fract_x
_atom_site_fract_y
_atom_site_fract_z
Pm1 Pm 0.0000 0.0000 0.0000
Dy1 Dy 0.0000 0.0000 0.5000
In1 In 0.0000 0.5000 0.7500
Pb1 Pb 0.0000 0.5000 0.2500
# Energy of formation from the pure elements in eV/f.u.: -1.9
# Density in g/cm3: 9.3
# Relative energy among the computed polymorphs in meV/atom: 0.0

***

# PBE-GGA PmDyInPb, optimized geometry
data_PmDyInPb
_chemical_formula_sum 'Pm4 Dy4 In4 Pb4'
_space_group_name_H-M_alt 'F -4 3 m'
_space_group_IT_number 216
_space_group_name_Hall 'F -4 2 3'
_cell_length_a 7.7040
_cell_length_b 7.7040
_cell_length_c 7.7040
_cell_angle_alpha 90.00
_cell_angle_beta 90.00
_cell_angle_gamma 90.00
loop_
_atom_site_label
_atom_site_type_symbol
_atom_site_fract_x
_atom_site_fract_y
_atom_site_fract_z
Pm1 Pm 0.0000 0.0000 0.0000
Dy1 Dy 0.0000 0.0000 0.5000
In1 In 0.2500 0.2500 0.7500
Pb1 Pb 0.2500 0.2500 0.2500
# Energy of formation from the pure elements in eV/f.u.: -1.7
# Density in g/cm3: 9.1
# Relative energy among the computed polymorphs in meV/atom: 43.4

***

# PBE-GGA PrDyInPb, optimized geometry
data_PrDyInPb
_chemical_formula_sum 'Pr4 Dy4 In4 Pb4'
_space_group_name_H-M_alt 'F -4 3 m'
_space_group_IT_number 216
_space_group_name_Hall 'F -4 2 3'
_cell_length_a 7.7563
_cell_length_b 7.7563
_cell_length_c 7.7563
_cell_angle_alpha 90.00
_cell_angle_beta 90.00
_cell_angle_gamma 90.00
loop_
_atom_site_label
_atom_site_type_symbol
_atom_site_fract_x
_atom_site_fract_y
_atom_site_fract_z
Pr1 Pr 0.0000 0.0000 0.0000
Dy1 Dy 0.0000 0.0000 0.5000
In1 In 0.2500 0.2500 0.7500
Pb1 Pb 0.2500 0.2500 0.2500
# Energy of formation from the pure elements in eV/f.u.: -1.7
# Density in g/cm3: 8.9
# Relative energy among the computed polymorphs in meV/atom: 43.1

***

# PBE-GGA PrDyInPb, optimized geometry
data_PrDyInPb
_chemical_formula_sum 'Pr2 Dy2 In2 Pb2'
_space_group_name_H-M_alt 'I -4 m 2'
_space_group_IT_number 119
_space_group_name_Hall 'I -4 -2'
_cell_length_a 5.0541
_cell_length_b 5.0541
_cell_length_c 9.0102
_cell_angle_alpha 90.00
_cell_angle_beta 90.00
_cell_angle_gamma 90.00
loop_
_atom_site_label
_atom_site_type_symbol
_atom_site_fract_x
_atom_site_fract_y
_atom_site_fract_z
Pr1 Pr 0.0000 0.0000 0.0000
Dy1 Dy 0.0000 0.0000 0.5000
In1 In 0.0000 0.5000 0.7500
Pb1 Pb 0.0000 0.5000 0.2500
# Energy of formation from the pure elements in eV/f.u.: -1.9
# Density in g/cm3: 9.0
# Relative energy among the computed polymorphs in meV/atom: 0.0

***

# PBE-GGA DyIn2PbS4, optimized geometry
data_DyIn2PbS4
_chemical_formula_sum 'Dy1 In2 Pb1 S4'
_space_group_name_H-M_alt 'P 1 2/m 1'
_space_group_IT_number 10
_space_group_name_Hall '-P 2y'
_cell_length_a 7.2498
_cell_length_b 4.0115
_cell_length_c 7.3505
_cell_angle_alpha 90.00
_cell_angle_beta 108.04
_cell_angle_gamma 90.00
loop_
_atom_site_label
_atom_site_type_symbol
_atom_site_fract_x
_atom_site_fract_y
_atom_site_fract_z
Dy1 Dy 0.0000 0.0000 0.0000
In1 In 0.5000 0.0000 0.5000
In2 In 0.5000 0.5000 0.0000
Pb1 Pb 0.0000 0.5000 0.5000
S1 S 0.2237 0.5000 0.2145
S2 S 0.2464 0.0000 0.7769
# Density in g/cm3: 5.9
# Formation energy without anion corrections in eV/atom: -0.887

***

# PBE-GGA DyScInPb, optimized geometry
data_DyScInPb
_chemical_formula_sum 'Dy4 Sc4 In4 Pb4'
_space_group_name_H-M_alt 'F -4 3 m'
_space_group_IT_number 216
_space_group_name_Hall 'F -4 2 3'
_cell_length_a 7.4431
_cell_length_b 7.4431
_cell_length_c 7.4431
_cell_angle_alpha 90.00
_cell_angle_beta 90.00
_cell_angle_gamma 90.00
loop_
_atom_site_label
_atom_site_type_symbol
_atom_site_fract_x
_atom_site_fract_y
_atom_site_fract_z
Dy1 Dy 0.0000 0.0000 0.0000
Sc1 Sc 0.0000 0.0000 0.5000
In1 In 0.2500 0.2500 0.7500
Pb1 Pb 0.2500 0.2500 0.2500
# Energy of formation from the pure elements in eV/f.u.: -1.4
# Density in g/cm3: 8.5

***

# PBE-GGA DyInPb2Se5, optimized geometry
data_DyInPb2Se5
_chemical_formula_sum 'Dy4 In4 Pb8 Se20'
_space_group_name_H-M_alt 'C m c 21'
_space_group_IT_number 36
_space_group_name_Hall 'C 2c -2'
_cell_length_a 4.1574
_cell_length_b 18.8323
_cell_length_c 13.4094
_cell_angle_alpha 90.00
_cell_angle_beta 90.00
_cell_angle_gamma 90.00
loop_
_atom_site_label
_atom_site_type_symbol
_atom_site_fract_x
_atom_site_fract_y
_atom_site_fract_z
Dy1 Dy 0.0000 0.2016 0.0000
In1 In 0.0000 0.4509 0.4126
Pb1 Pb 0.0000 0.1276 0.2986
Pb2 Pb 0.0000 0.1388 0.6460
Se1 Se 0.0000 0.0444 0.0324
Se2 Se 0.0000 0.2937 0.6486
Se3 Se 0.0000 0.3148 0.3515
Se4 Se 0.0000 0.3521 0.9921
Se5 Se 0.0000 0.4795 0.7489
# Density in g/cm3: 6.9
# Formation energy without anion corrections in eV/atom: -0.904

***

# PBE-GGA SmDyInPb, optimized geometry
data_SmDyInPb
_chemical_formula_sum 'Sm2 Dy2 In2 Pb2'
_space_group_name_H-M_alt 'I -4 m 2'
_space_group_IT_number 119
_space_group_name_Hall 'I -4 -2'
_cell_length_a 5.0104
_cell_length_b 5.0104
_cell_length_c 8.9314
_cell_angle_alpha 90.00
_cell_angle_beta 90.00
_cell_angle_gamma 90.00
loop_
_atom_site_label
_atom_site_type_symbol
_atom_site_fract_x
_atom_site_fract_y
_atom_site_fract_z
Sm1 Sm 0.0000 0.0000 0.0000
Dy1 Dy 0.0000 0.0000 0.5000
In1 In 0.0000 0.5000 0.7500
Pb1 Pb 0.0000 0.5000 0.2500
# Energy of formation from the pure elements in eV/f.u.: -1.9
# Density in g/cm3: 9.4
# Relative energy among the computed polymorphs in meV/atom: 0.0

***

# PBE-GGA SmDyInPb, optimized geometry
data_SmDyInPb
_chemical_formula_sum 'Sm4 Dy4 In4 Pb4'
_space_group_name_H-M_alt 'F -4 3 m'
_space_group_IT_number 216
_space_group_name_Hall 'F -4 2 3'
_cell_length_a 7.6870
_cell_length_b 7.6870
_cell_length_c 7.6870
_cell_angle_alpha 90.00
_cell_angle_beta 90.00
_cell_angle_gamma 90.00
loop_
_atom_site_label
_atom_site_type_symbol
_atom_site_fract_x
_atom_site_fract_y
_atom_site_fract_z
Sm1 Sm 0.0000 0.0000 0.0000
Dy1 Dy 0.0000 0.0000 0.5000
In1 In 0.2500 0.2500 0.7500
Pb1 Pb 0.2500 0.2500 0.2500
# Energy of formation from the pure elements in eV/f.u.: -1.7
# Density in g/cm3: 9.3
# Relative energy among the computed polymorphs in meV/atom: 43.1

***

# PBE-GGA Dy2In3Te6Pb, optimized geometry
data_Dy2In3Te6Pb
_chemical_formula_sum 'Dy4 In6 Te12 Pb2'
_space_group_name_H-M_alt 'C 1 2/m 1'
_space_group_IT_number 12
_space_group_name_Hall '-C 2y'
_cell_length_a 20.2431
_cell_length_b 4.4294
_cell_length_c 9.3933
_cell_angle_alpha 90.00
_cell_angle_beta 105.61
_cell_angle_gamma 90.00
loop_
_atom_site_label
_atom_site_type_symbol
_atom_site_fract_x
_atom_site_fract_y
_atom_site_fract_z
Dy1 Dy 0.1690 0.0000 0.3355
In1 In 0.0000 0.5000 0.5000
In2 In 0.1652 0.0000 0.8351
Te1 Te 0.0104 0.0000 0.2618
Te2 Te 0.1676 0.5000 0.1061
Te3 Te 0.1707 0.5000 0.5688
Pb1 Pb 0.0000 0.5000 0.0000
# Density in g/cm3: 6.7
# Formation energy without anion corrections in eV/atom: -0.745

***

# PBE-GGA DyInTe5Pb2, optimized geometry
data_DyInTe5Pb2
_chemical_formula_sum 'Dy4 In4 Te20 Pb8'
_space_group_name_H-M_alt 'C m c 21'
_space_group_IT_number 36
_space_group_name_Hall 'C 2c -2'
_cell_length_a 4.4142
_cell_length_b 20.2575
_cell_length_c 14.2673
_cell_angle_alpha 90.00
_cell_angle_beta 90.00
_cell_angle_gamma 90.00
loop_
_atom_site_label
_atom_site_type_symbol
_atom_site_fract_x
_atom_site_fract_y
_atom_site_fract_z
Dy1 Dy 0.0000 0.1966 0.0000
In1 In 0.0000 0.4472 0.4091
Te1 Te 0.0000 0.0408 0.0326
Te2 Te 0.0000 0.2980 0.6531
Te3 Te 0.0000 0.3123 0.3462
Te4 Te 0.0000 0.3481 0.9918
Te5 Te 0.0000 0.4782 0.7464
Pb1 Pb 0.0000 0.1256 0.3037
Pb2 Pb 0.0000 0.1464 0.6461
# Density in g/cm3: 6.9
# Formation energy without anion corrections in eV/atom: -0.626

***

- Which of these has the highest density?
  Dy2InPb

***

- Which formula does entry 3 have?
  PmDyInPb